# 1
A relaxed structure of In2HPb. Source: Alexandria via LeMat-Bulk, functional GGA-PBE.

a = 7.2269 Å, b = 7.2269 Å, c = 7.2269 Å
α = 90.00°, β = 90.00°, γ = 90.00°
Closest atoms and distances in Å follow each position.
Space group Fm-3m (No. 225)
Unique sites:
In1 0.2500 0.2500 0.2500 x8  4 Pb 3.13, 4 H 3.13
H1 0.0000 0.0000 0.0000 x4  8 In 3.13
Pb1 0.0000 0.0000 0.5000 x4  8 In 3.13

***

# 2
A relaxed structure of CaZrW2. Source: Alexandria via LeMat-Bulk, functional GGA-PBE.

a = 2.7779 Å, b = 4.9068 Å, c = 6.2449 Å
α = 90.00°, β = 90.00°, γ = 90.00°
Closest atoms and distances in Å follow each position.
Space group Pmmm (No. 47)
Unique sites:
Ca1 0.0000 0.0000 0.0000 x1  2 Ca 2.78
Zr1 0.0000 0.0000 0.5000 x1  2 Zr 2.78, 8 W 3.09
W1 0.5000 0.5000 0.2985 x2  3 W 2.52-2.78

Calculated values
Energy relative to the elements, eV/atom: 0.688

***

Total DFT energy (no corrections) for the records above, in order: -2.69 -8.43 eV per atom